[1]
Pr5SmP6 | Alexandria via LeMat-Bulk | GGA-PBE | relaxed; magnetic moment = 0.0 μB/f.u.; total energy = -79.37 eV for the cell shown; symmetry = C2/m (12); calculated density = 5.54 Mg/m³
1.0
3.6283 -6.2829 0.0000
3.6283 6.2829 0.0000
-2.4199 0.0000 6.8402
Pr Sm P
5 1 6
Direct
0.0000 0.0000 0.0000
0.1665 0.8335 0.5000
0.3330 0.6670 0.0000
0.6670 0.3330 0.0000
0.8335 0.1665 0.5000
0.5000 0.5000 0.5000
0.0870 0.4174 0.2520
0.2524 0.2524 0.7483
0.4174 0.0870 0.2520
0.5826 0.9130 0.7480
0.7476 0.7476 0.2517
0.9130 0.5826 0.7480

---

[2]
PrSm5P6 | Alexandria via LeMat-Bulk | GGA-PBE | relaxed; magnetic moment = 0.0 μB/f.u.; total energy = -79.57 eV for the cell shown; symmetry = C2/m (12); calculated density = 6.02 Mg/m³
1.0
3.5727 -6.1856 0.0000
3.5727 6.1856 0.0000
-2.3833 0.0000 6.7344
Pr Sm P
1 5 6
Direct
0.0000 0.0000 0.0000
0.1662 0.8338 0.5000
0.3331 0.6669 0.0000
0.5000 0.5000 0.5000
0.6669 0.3331 0.0000
0.8338 0.1662 0.5000
0.0840 0.4203 0.2520
0.2526 0.2526 0.7484
0.4203 0.0840 0.2520
0.5797 0.9160 0.7480
0.7474 0.7474 0.2516
0.9160 0.5797 0.7480

---

[3]
PrSm2P3 | Alexandria via LeMat-Bulk | GGA-PBE | relaxed; magnetic moment = 0.0 μB/f.u.; total energy = -39.75 eV for the cell shown; symmetry = Immm (71); calculated density = 5.89 Mg/m³
1.0
-2.0724 2.9266 6.2085
2.0724 -2.9266 6.2085
2.0724 2.9266 -6.2085
Pr Sm P
1 2 3
Direct
0.0000 0.0000 0.0000
0.3336 0.3336 0.0000
0.6664 0.6664 0.0000
0.1697 0.6697 0.5000
0.5000 0.0000 0.5000
0.8303 0.3303 0.5000

---

[4]
Pr2SmP | Alexandria via LeMat-Bulk | GGA-PBE | relaxed; magnetic moment = 0.0 μB/f.u.; total energy = -22.19 eV for the cell shown; symmetry = R-3m (166); calculated density = 5.89 Mg/m³
1.0
1.9758 1.1407 9.6500
-1.9758 1.1407 9.6500
0.0000 -2.2814 9.6500
Pr Sm P
2 1 1
Direct
0.2264 0.2264 0.2264
0.7736 0.7736 0.7736
0.0000 0.0000 0.0000
0.5000 0.5000 0.5000